Entry from Alexandria: CrAgAs2O8 after structural relaxation (PBE+U).

- E: -5.703 eV per atom
- Spin magnetization: 2.09 Bohr magnetons per cell

Cell: 6.890 6.890 6.294 Å, 90.00 90.00 90.00°
Space group I-4m2 (No. 119)
Inequivalent atoms, fractional coordinates:
Cr1 0.000 0.000 0.000
Ag1 0.000 0.500 0.250
As1 0.000 0.000 0.500
As2 0.000 0.500 0.750
O1 0.000 0.176 0.304
O2 0.000 0.306 0.926